# GGA+U NiWO2, relaxed
# Final energy ... -0.2131 hartree per atom
# Magnetization ... 6.061 μB/cell
# Energy relative to the lowest polymorph listed for this composition ... 0 meV/atom
data_NiWO2
_space_group_name_H-M_alt 'R -3 m'
_space_group_IT_number 166
_space_group_name_Hall '-R 3 2"'
_cell_length_a 3.0107
_cell_length_b 3.0107
_cell_length_c 18.1705
_cell_angle_alpha 90.00
_cell_angle_beta 90.00
_cell_angle_gamma 120.00
loop_
_atom_site_label
_atom_site_type_symbol
_atom_site_fract_x
_atom_site_fract_y
_atom_site_fract_z
Ni1 Ni 0.0000 0.0000 0.0000
W1 W 0.0000 0.0000 0.5000
O1 O 0.0000 0.0000 0.3942